# PAuCl8

A PBEsol-optimized structure of PAuCl8 (SCAN, the Alexandria database).

Lattice parameters (Å, degrees): 11.560 11.560 11.560 94.53 114.30 120.63
Element x y z (fractional)
P  0.500  0.246  0.246
P  0.000  0.754  0.254
P  0.500  0.754  0.754
P  0.000  0.246  0.746
Au  0.078  0.328  0.250
Au  0.922  0.672  0.750
Au  0.559  0.809  0.250
Au  0.441  0.191  0.750
Cl  0.012  0.087  0.772
Cl  0.314  0.739  0.728
Cl  0.686  0.913  0.925
Cl  0.988  0.261  0.575
Cl  0.988  0.913  0.228
Cl  0.686  0.261  0.272
Cl  0.314  0.087  0.075
Cl  0.012  0.739  0.425
Cl  0.812  0.209  0.739
Cl  0.470  0.573  0.761
Cl  0.530  0.791  0.603
Cl  0.188  0.427  0.897
Cl  0.188  0.791  0.261
Cl  0.530  0.427  0.239
Cl  0.470  0.209  0.397
Cl  0.812  0.573  0.103
Cl  0.440  0.044  0.604
Cl  0.440  0.335  0.896
Cl  0.560  0.956  0.396
Cl  0.560  0.665  0.104
Cl  0.261  0.193  0.568
Cl  0.625  0.193  0.932
Cl  0.375  0.807  0.068
Cl  0.739  0.807  0.432
Cl  0.923  0.527  0.604
Cl  0.923  0.818  0.896
Cl  0.077  0.473  0.396
Cl  0.077  0.182  0.104
Cl  0.123  0.873  0.750
Cl  0.877  0.127  0.250
Cl  0.723  0.473  0.750
Cl  0.277  0.527  0.250

Calculated values
* E: -598.28 eV/cell
* raw formation energy: -0.62 eV/atom

---

# PAu3Cl

A PBEsol-optimized structure of PAu3Cl (SCAN, the Alexandria database).

Lattice parameters (Å, degrees): 4.692 4.692 4.692 90.00 90.00 90.00
Element x y z (fractional)
P  0.000  0.000  0.000
Au  0.000  0.500  0.000
Au  0.000  0.000  0.500
Au  0.500  0.000  0.000
Cl  0.500  0.500  0.500

Calculated values
* E: -224.67 eV/cell
* raw formation energy: 0.23 eV/atom

---

# PAu2Cl

A PBEsol-optimized structure of PAu2Cl (SCAN, the Alexandria database).

Lattice parameters (Å, degrees): 3.471 3.570 6.754 96.37 90.00 90.00
Element x y z (fractional)
Au  0.000  0.949  0.973
Au  0.500  0.590  0.199
Cl  0.000  0.623  0.470
P  0.500  0.338  0.858

Calculated values
* E: -156.75 eV/cell
* raw formation energy: -0.02 eV/atom
* relative energy among the computed polymorphs: 0.000 eV/atom

---

# P2PdAuCl

A PBEsol-optimized structure of P2PdAuCl (SCAN, the Alexandria database).

Lattice parameters (Å, degrees): 4.708 4.708 4.879 90.00 90.00 90.00
Each line ends with the local moment (μB).
Element x y z (fractional)
P  0.000  0.500  0.000  0.20
P  0.500  0.000  0.000  0.20
Au  0.000  0.000  0.000  0.05
Pd  0.500  0.500  0.500  -0.04
Cl  0.000  0.000  0.500  0.07

Calculated values
* E: -125.43 eV/cell
* raw formation energy: 1.06 eV/atom

---

# RbPAuCl2

A PBEsol-optimized structure of RbPAuCl2 (SCAN, the Alexandria database).

Lattice parameters (Å, degrees): 5.854 5.854 6.192 90.00 90.00 90.00
Each line ends with the local moment (μB).
Element x y z (fractional)
P  0.000  0.000  0.500  1.18
Au  0.500  0.500  0.500  -0.12
Rb  0.000  0.000  0.000  0.05
Cl  0.000  0.500  0.000  0.19
Cl  0.500  0.000  0.000  0.19

Calculated values
* E: -112.49 eV/cell
* raw formation energy: 0.75 eV/atom

---

# PAuS2Cl

A PBEsol-optimized structure of PAuS2Cl (SCAN, the Alexandria database).

Lattice parameters (Å, degrees): 4.646 4.767 4.767 90.00 90.00 90.00
Element x y z (fractional)
P  0.500  0.500  0.500
S  0.000  0.000  0.500
S  0.000  0.500  0.000
Au  0.000  0.000  0.000
Cl  0.500  0.000  0.000

Calculated values
* E: -102.02 eV/cell
* raw formation energy: 0.95 eV/atom